DFT (PBE) results for Li2ReNi after structural relaxation.

Results
The crystal system is orthorhombic. Its symmetry is Imm2, No. 44. Its relative energy among the computed polymorphs is 1.00 eV per formula unit. Its energy of formation is 359 meV per atom.

Cell: 5.150 5.150 5.150 Å, 151.21 127.72 60.78°
Fractional coordinates of all 4 atoms:
Li: 0.000 0.000 0.000
Li: 0.750 0.250 0.500
Re: 0.276 0.776 0.500
Ni: 0.514 0.514 0.000